# 1
Entry from Alexandria: a relaxed Pm2NpOs3 crystal (PBE).

## Properties
Energy relative to the elements: -132 meV per atom
Space-group type: No. 194

Cell lengths 5.810, 5.810, 8.265 Å; angles 90.00, 90.00, 120.00 degrees
Fractional positions:
Pm1 0.667 0.333 0.436
Pm2 0.333 0.667 0.564
Pm3 0.333 0.667 0.936
Pm4 0.667 0.333 0.064
Np1 0.000 0.000 0.500
Np2 0.000 0.000 0.000
Os1 0.167 0.333 0.250
Os2 0.333 0.167 0.750
Os3 0.833 0.667 0.750
Os4 0.167 0.833 0.250
Os5 0.833 0.167 0.750
Os6 0.667 0.833 0.250

# 2
Entry from Alexandria: a relaxed Zr2SeCl crystal (PBE).

## Properties
ΔE to the lowest computed polymorph: 241 meV per atom
Uncorrected formation energy: -738 meV per atom
Space-group type: No. 123

Cell lengths 3.371, 3.371, 6.690 Å; angles 90.00, 90.00, 90.00 degrees
Fractional positions:
Cl1 0.500 0.500 0.250
Se1 0.500 0.500 0.750
Zr1 0.000 0.000 0.982
Zr2 0.000 0.000 0.518

Please write out number 2 again, unchanged.
Entry from Alexandria: a relaxed Zr2SeCl crystal (PBE).

## Properties
ΔE to the lowest computed polymorph: 241 meV per atom
Uncorrected formation energy: -738 meV per atom
Space-group type: No. 123

Cell lengths 3.371, 3.371, 6.690 Å; angles 90.00, 90.00, 90.00 degrees
Fractional positions:
Cl1 0.500 0.500 0.250
Se1 0.500 0.500 0.750
Zr1 0.000 0.000 0.982
Zr2 0.000 0.000 0.518